A crystal of BeTe2Au relaxed with PBEsol. Source: Alexandria, functional meta-GGA SCAN.

Unit cell a=6.8189 b=6.8189 c=6.8189 alpha=147.43 beta=147.43 gamma=46.72
Fractional coordinates of all 4 atoms:
Be: 0.0000 0.0000 0.0000
Te: 0.5000 0.5000 0.0000
Te: 0.7500 0.2500 0.5000
Au: 0.2500 0.7500 0.5000

Summary:
ΔE_f (raw), eV per atom: 0.3603
V, Å³/f.u.: 92
Crystal system: tetragonal
Spin magnetization, μB per cell: 0.000
Space-group type: I-4m2